*a*
The following is a PBE-GGA calculation of a geometry-optimized Dy2NpRu3 structure, from Alexandria via LeMat-Bulk.

a = 7.5513 Å, b = 7.5513 Å, c = 7.5513 Å
α = 154.90°, β = 136.68°, γ = 50.72°
Last column: nearest neighbours and their distance in Å.
Fractional positions:
Dy (0.1677, 0.1677, 0.0000)  6 Ru 2.80-3.04
Dy (0.8323, 0.8323, 0.0000)  6 Ru 2.80-3.04
Np (0.5000, 0.5000, 0.0000)  6 Ru 2.57-2.79
Ru (0.0000, 0.5000, 0.5000)  2 Np 2.79, 4 Dy 2.82
Ru (0.3551, 0.8551, 0.5000)  2 Np 2.57, 2 Dy 2.80
Ru (0.6449, 0.1449, 0.5000)  2 Np 2.57, 2 Dy 2.80

***

*b*
The following is a PBE-GGA calculation of a geometry-optimized Dy2NpRu3 structure, from Alexandria via LeMat-Bulk.

a = 5.8158 Å, b = 5.8158 Å, c = 7.9713 Å
α = 90.00°, β = 90.00°, γ = 120.00°
Last column: nearest neighbours and their distance in Å.
Fractional positions:
Dy (0.3333, 0.6667, 0.0574)  9 Ru 2.98-3.29, 1 Dy 3.07
Dy (0.3333, 0.6667, 0.4426)  9 Ru 2.98-3.29, 1 Dy 3.07
Dy (0.6667, 0.3333, 0.5574)  9 Ru 2.98-3.29, 1 Dy 3.07
Dy (0.6667, 0.3333, 0.9426)  9 Ru 2.98-3.29, 1 Dy 3.07
Np (0.0000, 0.0000, 0.0000)  6 Ru 2.60
Np (0.0000, 0.0000, 0.5000)  6 Ru 2.60
Ru (0.1657, 0.3315, 0.7500)  2 Np 2.60, 2 Ru 2.89
Ru (0.1657, 0.8343, 0.7500)  2 Np 2.60, 2 Ru 2.89
Ru (0.3315, 0.1657, 0.2500)  2 Np 2.60, 2 Ru 2.89
Ru (0.6685, 0.8343, 0.7500)  2 Np 2.60, 2 Ru 2.89
Ru (0.8343, 0.1657, 0.2500)  2 Np 2.60, 2 Ru 2.89
Ru (0.8343, 0.6685, 0.2500)  2 Np 2.60, 2 Ru 2.89

***

Which structure is the most stable? The one labeled *b*.

***

*a*
The following is a PBE-GGA calculation of a geometry-optimized DyNpSe3 structure, from Alexandria via LeMat-Bulk.

a = 7.6848 Å, b = 4.0927 Å, c = 15.7624 Å
α = 90.00°, β = 90.00°, γ = 90.00°
Last column: nearest neighbours and their distance in Å.
Fractional positions:
Dy (0.2352, 0.2500, 0.0421)  7 Se 2.88-3.01
Dy (0.2648, 0.7500, 0.5421)  7 Se 2.88-3.01
Dy (0.7352, 0.2500, 0.4579)  7 Se 2.88-3.01
Dy (0.7648, 0.7500, 0.9579)  7 Se 2.88-3.01
Np (0.1371, 0.7500, 0.2925)  7 Se 2.87-3.08
Np (0.3629, 0.2500, 0.7925)  7 Se 2.87-3.08
Np (0.6371, 0.7500, 0.2075)  7 Se 2.87-3.08
Np (0.8629, 0.2500, 0.7075)  7 Se 2.87-3.08
Se (0.0074, 0.7500, 0.1075)  3 Dy 2.88-3.01, 1 Np 3.08
Se (0.1227, 0.2500, 0.4328)  3 Dy 2.89-3.00, 2 Np 3.02, 1 Se 3.18
Se (0.1476, 0.7500, 0.7200)  4 Np 2.87-3.00, 1 Dy 2.95, 1 Se 3.18
Se (0.3524, 0.2500, 0.2200)  4 Np 2.87-3.00, 1 Dy 2.95, 1 Se 3.18
Se (0.3773, 0.7500, 0.9328)  3 Dy 2.89-3.00, 2 Np 3.02, 1 Se 3.18
Se (0.4926, 0.2500, 0.6075)  3 Dy 2.88-3.01, 1 Np 3.08
Se (0.5074, 0.7500, 0.3925)  3 Dy 2.88-3.01, 1 Np 3.08
Se (0.6227, 0.2500, 0.0672)  3 Dy 2.89-3.00, 2 Np 3.02, 1 Se 3.18
Se (0.6476, 0.7500, 0.7800)  4 Np 2.87-3.00, 1 Dy 2.95, 1 Se 3.18
Se (0.8524, 0.2500, 0.2800)  4 Np 2.87-3.00, 1 Dy 2.95, 1 Se 3.18
Se (0.8773, 0.7500, 0.5672)  3 Dy 2.89-3.00, 2 Np 3.02, 1 Se 3.18
Se (0.9926, 0.2500, 0.8925)  3 Dy 2.88-3.01, 1 Np 3.08

***

*b*
The following is a PBE-GGA calculation of a geometry-optimized DyNpSe3 structure, from Alexandria via LeMat-Bulk.

a = 4.1446 Å, b = 4.1446 Å, c = 20.2571 Å
α = 90.00°, β = 90.00°, γ = 120.00°
Last column: nearest neighbours and their distance in Å.
Fractional positions:
Dy (0.3333, 0.6667, 0.0000)  6 Se 2.76-3.03
Dy (0.6667, 0.3333, 0.5000)  6 Se 2.76-3.03
Np (0.0000, 0.0000, 0.1806)  6 Se 2.80-2.99
Np (0.0000, 0.0000, 0.6806)  6 Se 2.80-2.99
Se (0.0000, 0.0000, 0.4317)  3 Dy 2.76
Se (0.0000, 0.0000, 0.9317)  3 Dy 2.76
Se (0.3333, 0.6667, 0.2524)  3 Np 2.80
Se (0.3333, 0.6667, 0.5919)  3 Np 2.99, 3 Dy 3.03
Se (0.6667, 0.3333, 0.0919)  3 Np 2.99, 3 Dy 3.03
Se (0.6667, 0.3333, 0.7524)  3 Np 2.80

***

Which structure is the most stable? The one labeled *a*.